The following is a PBE-GGA calculation of a relaxed structure of U2Zn16Ir, from Alexandria via LeMat-Bulk.

Properties
Space group: R3m
Energy relative to the elements (eV per atom): -0.0788
DOS(E_F) (states/eV per cell): 20.84

Cell lengths 6.7719, 6.7719, 6.7719 Å; angles 83.16, 83.16, 83.16 degrees
Closest atoms and distances in Å follow each position.
Atoms (fractional coordinates):
U: 0.6733 0.6733 0.6733  1 Ir 2.77
U: 0.3422 0.3422 0.3422  19 Zn 3.15-3.45
Zn: 0.7098 0.9985 0.2877  8 Zn 2.54-2.80
Zn: 0.9985 0.2877 0.7098  8 Zn 2.54-2.80
Zn: 0.2877 0.7098 0.9985  8 Zn 2.54-2.80
Zn: 0.9985 0.7098 0.2877  8 Zn 2.54-2.80
Zn: 0.7098 0.2877 0.9985  8 Zn 2.54-2.80
Zn: 0.2877 0.9985 0.7098  8 Zn 2.54-2.80
Zn: 0.3586 0.8379 0.3586  8 Zn 2.56-2.80
Zn: 0.8379 0.3586 0.3586  8 Zn 2.56-2.80
Zn: 0.3586 0.3586 0.8379  8 Zn 2.56-2.80
Zn: 0.6479 0.1550 0.6479  8 Zn 2.56-2.74, 1 Ir 2.78
Zn: 0.1550 0.6479 0.6479  8 Zn 2.56-2.74, 1 Ir 2.78
Zn: 0.6479 0.6479 0.1550  8 Zn 2.56-2.74, 1 Ir 2.78
Zn: 0.0013 0.4980 0.0013  9 Zn 2.54-2.72, 1 Ir 2.70
Zn: 0.4980 0.0013 0.0013  9 Zn 2.54-2.72, 1 Ir 2.70
Zn: 0.0013 0.0013 0.4980  9 Zn 2.54-2.72, 1 Ir 2.70
Zn: 0.1004 0.1004 0.1004  12 Zn 2.72-2.92, 1 Ir 2.81
Ir: 0.8854 0.8854 0.8854  13 Zn 2.70-2.99, 1 U 2.77